Entry from Alexandria: a relaxed structure of TbAlTe3 (GGA-PBE).

Output
V	39.335	Å³/atom
raw formation energy	-0.91	eV/atom
relative energy among the computed polymorphs	0	meV per atom
M_tot	0.00	μB per formula unit

a = 4.3006 Å, b = 25.4555 Å, c = 7.1861 Å
α = 90.00°, β = 90.00°, γ = 90.00°
Last column: nearest neighbours and their distance in Å.
Space group Ama2 (No. 40)
One atom of each set of equivalent atoms:
Tb1 0.2500 0.1727 0.0000 x4  6 Te 3.03-3.15
Al1 0.2500 0.3716 0.9176 x4  4 Te 2.61-2.69
Te1 0.2500 0.0785 0.2769 x4  2 Al 2.69
Te2 0.2500 0.2765 0.7607 x4  1 Al 2.67
Te3 0.2500 0.3835 0.2782 x4  1 Al 2.61

***

Entry from Alexandria: a relaxed structure of Pr3Sm8Sc (GGA-PBE).

Output
formation energy from the elements	537	meV per atom
V	36.978	Å³/atom
Fermi-level density of states	37.29	states/eV/cell
M_tot	0.00	μB per formula unit

a = 8.7861 Å, b = 8.7861 Å, c = 11.4965 Å
α = 90.00°, β = 90.00°, γ = 90.00°
Last column: nearest neighbours and their distance in Å.
Space group I-42m (No. 121)
One atom of each set of equivalent atoms:
Pr1 0.0000 0.0000 0.0000 x2  8 Sm 3.28-3.35
Pr2 0.0000 0.5000 0.2500 x4  4 Sm 3.47
Sm1 0.1251 0.1251 0.2578 x8  3 Sm 3.11-3.32, 1 Sc 3.19, 3 Pr 3.35-3.47
Sm2 0.2371 0.2371 0.5204 x8  1 Sc 2.96, 1 Sm 3.22, 1 Pr 3.28
Sc1 0.0000 0.0000 0.5000 x2  8 Sm 2.96-3.19

***

Entry from Alexandria: a relaxed structure of Pr3MgGa (GGA-PBE).

Output
formation energy from the elements	-208	meV per atom
V	29.626	Å³/atom
relative energy among the computed polymorphs	26	meV per atom
Fermi-level density of states	19.58	states/eV/cell
M_tot	0.00	μB per formula unit

a = 7.9800 Å, b = 6.9625 Å, c = 11.0148 Å
α = 90.00°, β = 104.49°, γ = 90.00°
Last column: nearest neighbours and their distance in Å.
Space group P2_1/c (No. 14)
One atom of each set of equivalent atoms:
Pr1 0.1250 0.1519 0.4163 x4  3 Ga 3.11-3.29, 1 Mg 3.35, 1 Pr 3.46
Pr2 0.2417 0.5398 0.6401 x4  2 Ga 3.06-3.16, 1 Mg 3.31
Pr3 0.2972 0.0337 0.7282 x4  2 Ga 3.15-3.41, 2 Mg 3.41-3.52, 2 Pr 3.46-3.52
Mg1 0.4489 0.7159 0.9653 x4  1 Ga 2.93, 1 Mg 3.16
Ga1 0.0768 0.7121 0.3715 x4  1 Mg 2.93, 5 Pr 3.06-3.20